No. 1
ZnInCuHg PBE relaxed; total DFT energy (no corrections) = -1.808 eV per atom; symmetry = F-43m, No. 216
1.0
0.0000 3.3702 3.3702
3.3702 0.0000 3.3702
3.3702 3.3702 0.0000
Zn In Cu Hg
1 1 1 1
Direct
0.0000 0.0000 0.0000
0.2500 0.2500 0.2500
0.5000 0.5000 0.5000
0.7500 0.7500 0.7500

---

No. 2
ZrInCuHg PBE relaxed; total DFT energy (no corrections) = -3.782 eV per atom; symmetry = F-43m, No. 216; total moment = 0.0 Bohr magnetons per cell
1.0
0.0000 3.4166 3.4166
3.4166 0.0000 3.4166
3.4166 3.4166 0.0000
Zr In Cu Hg
1 1 1 1
Direct
0.0000 0.0000 0.0000
0.2500 0.2500 0.2500
0.5000 0.5000 0.5000
0.7500 0.7500 0.7500

---

No. 3
ZrInCuHg PBE relaxed; total DFT energy (no corrections) = -3.810 eV per atom; symmetry = F-43m, No. 216; total moment = 0.0 Bohr magnetons per cell
1.0
0.0000 3.4048 3.4048
3.4048 0.0000 3.4048
3.4048 3.4048 0.0000
Zr In Cu Hg
1 1 1 1
Direct
0.0000 0.0000 0.0000
0.5000 0.5000 0.5000
0.7500 0.7500 0.7500
0.2500 0.2500 0.2500

---

No. 4
Y3Mg3CuHgIr PBE relaxed; total DFT energy (no corrections) = -4.568 eV per atom; symmetry = P-6, No. 174; total moment = 0.0 Bohr magnetons per cell
1.0
7.6993 0.0000 0.0000
-3.8496 6.6678 0.0000
0.0000 0.0000 3.9285
Y Mg Cu Hg Ir
3 3 1 1 1
Direct
0.0294 0.6031 0.0000
0.3969 0.4263 0.0000
0.5737 0.9706 0.0000
0.0016 0.2436 0.5000
0.2420 0.9984 0.5000
0.7564 0.7580 0.5000
0.0000 0.0000 0.0000
0.6667 0.3333 0.5000
0.3333 0.6667 0.5000

---

No. 5
CuHgSbIr PBE relaxed; total DFT energy (no corrections) = -3.941 eV per atom; symmetry = F-43m, No. 216; total moment = 0.0 Bohr magnetons per cell
1.0
0.0000 3.2943 3.2943
3.2943 0.0000 3.2943
3.2943 3.2943 0.0000
Cu Hg Sb Ir
1 1 1 1
Direct
0.0000 0.0000 0.0000
0.2500 0.2500 0.2500
0.7500 0.7500 0.7500
0.5000 0.5000 0.5000

---

No. 6
CuSnHgIr PBE relaxed; total DFT energy (no corrections) = -3.994 eV per atom; symmetry = F-43m, No. 216; total moment = 0.0 Bohr magnetons per cell
1.0
0.0000 3.2712 3.2712
3.2712 0.0000 3.2712
3.2712 3.2712 0.0000
Cu Sn Hg Ir
1 1 1 1
Direct
0.0000 0.0000 0.0000
0.7500 0.7500 0.7500
0.2500 0.2500 0.2500
0.5000 0.5000 0.5000

---

- Which value of total DFT energy (no corrections) does entry 2 give?
  -3.782 eV per atom